No. 1
A plane-wave DFT calculation with GGA-PBE was carried out for HoAgPtO4 after structural relaxation.

Unit cell a=6.5488 b=6.5488 c=6.5488 alpha=121.16 beta=115.76 gamma=92.75
With the nearest neighbours (Å) after each atom.
Fractional coordinates of all 14 atoms:
Ho: 0.0000 0.0000 0.0000  6 O 2.25-2.30
Ho: 0.5000 0.0000 0.5000  6 O 2.25-2.30
Ag: 0.3842 0.6342 0.7500  4 O 2.28-2.40
Ag: 0.6158 0.3658 0.2500  4 O 2.28-2.40
Pt: 0.0000 0.0000 0.5000  6 O 2.08
Pt: 0.0000 0.5000 0.0000  6 O 2.08
O: 0.1890 0.7492 0.4398  2 Pt 2.08, 1 Ho 2.30
O: 0.1906 0.2508 0.9398  2 Pt 2.08, 1 Ho 2.30
O: 0.2291 0.1992 0.4700  1 Pt 2.08, 2 Ho 2.25, 1 Ag 2.28
O: 0.2291 0.7591 0.0300  1 Pt 2.08, 2 Ho 2.25, 1 Ag 2.28
O: 0.7709 0.2409 0.9700  1 Pt 2.08, 2 Ho 2.25, 1 Ag 2.28
O: 0.7709 0.8008 0.5300  1 Pt 2.08, 2 Ho 2.25, 1 Ag 2.28
O: 0.8094 0.7492 0.0602  2 Pt 2.08, 1 Ho 2.30
O: 0.8110 0.2508 0.5602  2 Pt 2.08, 1 Ho 2.30

=====

No. 2
A plane-wave DFT calculation with GGA-PBE was carried out for Ho3Ag3PtO8 after structural relaxation.

Unit cell a=6.7458 b=6.7458 c=6.9651 alpha=119.20 beta=119.20 gamma=60.03
With the nearest neighbours (Å) after each atom.
Fractional coordinates of all 15 atoms:
Ho: 0.0000 0.0000 0.0000  6 O 2.21-2.31
Ho: 0.0000 0.5000 0.0000  6 O 2.21-2.31
Ho: 0.5000 0.0000 0.0000  6 O 2.21-2.31
Ag: 0.0000 0.5000 0.5000  6 O 2.57-2.68
Ag: 0.5000 0.0000 0.5000  6 O 2.57-2.68
Ag: 0.5000 0.5000 0.5000  6 O 2.59-2.66
Pt: 0.5000 0.5000 0.0000  6 O 2.09
O: 0.2275 0.2275 0.1811  3 Ho 2.21
O: 0.2598 0.7163 0.1907  1 Pt 2.09, 2 Ho 2.31
O: 0.2838 0.2838 0.8095  1 Pt 2.09, 2 Ho 2.31
O: 0.2837 0.7402 0.8093  1 Pt 2.09, 2 Ho 2.31
O: 0.7163 0.2598 0.1907  1 Pt 2.09, 2 Ho 2.31
O: 0.7162 0.7162 0.1905  1 Pt 2.09, 2 Ho 2.31
O: 0.7402 0.2837 0.8093  1 Pt 2.09, 2 Ho 2.31
O: 0.7725 0.7725 0.8189  3 Ho 2.21

=====

No. 3
A plane-wave DFT calculation with GGA-PBE was carried out for HoPuAg2O8 after structural relaxation.

Unit cell a=6.0847 b=6.0847 c=6.0847 alpha=112.15 beta=112.15 gamma=104.24
With the nearest neighbours (Å) after each atom.
Fractional coordinates of all 12 atoms:
Ho: 0.0000 0.0000 0.0000  8 O 2.23-2.48
Pu: 0.7500 0.2500 0.5000  4 O 1.96
Ag: 0.2500 0.7500 0.5000  4 O 2.02
Ag: 0.5000 0.5000 0.0000  4 O 2.24
O: 0.0306 0.3572 0.3266  1 Ag 2.02, 1 Ho 2.23
O: 0.0306 0.7039 0.6734  1 Ag 2.02, 1 Ho 2.23
O: 0.0579 0.2701 0.7878  1 Pu 1.96
O: 0.2961 0.9694 0.3266  1 Ag 2.02, 1 Ho 2.23
O: 0.4823 0.2701 0.2122  1 Pu 1.96
O: 0.6428 0.9694 0.6734  1 Ag 2.02, 1 Ho 2.23
O: 0.7299 0.5177 0.7878  1 Pu 1.96
O: 0.7299 0.9421 0.2122  1 Pu 1.96

=====

No. 4
A plane-wave DFT calculation with GGA-PBE was carried out for HoPuAg2O6 after structural relaxation.

Unit cell a=5.9175 b=5.9175 c=4.3452 alpha=90.00 beta=90.00 gamma=90.00
With the nearest neighbours (Å) after each atom.
Fractional coordinates of all 10 atoms:
Ho: 0.0000 0.0000 0.0000  6 O 2.17-2.24
Pu: 0.5000 0.5000 0.0021  6 O 1.94-2.17
Ag: 0.0000 0.5000 0.4968  12 O 2.96-3.04
Ag: 0.5000 0.0000 0.4968  12 O 2.96-3.04
O: 0.0000 0.0000 0.5004  2 Ho 2.17
O: 0.2681 0.2681 0.0026  1 Pu 1.94
O: 0.2681 0.7319 0.0026  1 Pu 1.94
O: 0.5000 0.5000 0.5021  2 Pu 2.17
O: 0.7319 0.2681 0.0026  1 Pu 1.94
O: 0.7319 0.7319 0.0026  1 Pu 1.94

=====

No. 5
A plane-wave DFT calculation with GGA-PBE was carried out for HoPuAgO6 after structural relaxation.

Unit cell a=5.1628 b=5.1628 c=9.9333 alpha=90.00 beta=90.00 gamma=90.00
With the nearest neighbours (Å) after each atom.
Fractional coordinates of all 18 atoms:
Ho: 0.0000 0.0000 0.0000  6 O 2.22-2.30
Ho: 0.5000 0.5000 0.5000  6 O 2.22-2.30
Pu: 0.0000 0.0000 0.6582  6 O 1.97-2.07
Pu: 0.5000 0.5000 0.1582  6 O 1.97-2.07
Ag: 0.0000 0.0000 0.3252  6 O 2.29-2.37
Ag: 0.5000 0.5000 0.8252  6 O 2.29-2.37
O: 0.1763 0.1763 0.8084  1 Pu 1.97
O: 0.1890 0.1890 0.5095  1 Pu 2.02
O: 0.2167 0.2167 0.1562  1 Pu 2.07, 1 Ho 2.22, 1 Ag 2.31
O: 0.2833 0.7167 0.6562  1 Pu 2.07, 1 Ho 2.22, 1 Ag 2.31
O: 0.3110 0.6890 0.0095  1 Pu 2.02
O: 0.3237 0.6763 0.3084  1 Pu 1.97
O: 0.6763 0.3237 0.3084  1 Pu 1.97
O: 0.6890 0.3110 0.0095  1 Pu 2.02
O: 0.7167 0.2833 0.6562  1 Pu 2.07, 1 Ho 2.22, 1 Ag 2.31
O: 0.7833 0.7833 0.1562  1 Pu 2.07, 1 Ho 2.22, 1 Ag 2.31
O: 0.8110 0.8110 0.5095  1 Pu 2.02
O: 0.8237 0.8237 0.8084  1 Pu 1.97

=====

No. 6
A plane-wave DFT calculation with GGA-PBE was carried out for HoPu2AgO8 after structural relaxation.

Unit cell a=6.4722 b=6.4722 c=6.4722 alpha=131.09 beta=131.09 gamma=71.68
With the nearest neighbours (Å) after each atom.
Fractional coordinates of all 12 atoms:
Ho: 0.0000 0.0000 0.0000  8 O 2.34
Pu: 0.2500 0.7500 0.5000  8 O 2.23
Pu: 0.5000 0.5000 0.0000  8 O 2.24
Ag: 0.7500 0.2500 0.5000  8 O 2.41
O: 0.1496 0.1210 0.5156  2 Pu 2.23-2.24, 1 Ho 2.34, 1 Ag 2.41, 1 O 2.44
O: 0.1496 0.6340 0.0285  2 Pu 2.23-2.24, 1 Ho 2.34, 1 Ag 2.41, 1 O 2.44
O: 0.3660 0.3945 0.5156  2 Pu 2.23-2.24, 1 Ho 2.34, 1 Ag 2.41, 1 O 2.44
O: 0.3660 0.8504 0.9715  2 Pu 2.23-2.24, 1 Ho 2.34, 1 Ag 2.41, 1 O 2.44
O: 0.6055 0.1210 0.9715  2 Pu 2.23-2.24, 1 Ho 2.34, 1 Ag 2.41, 1 O 2.44
O: 0.6055 0.6340 0.4844  2 Pu 2.23-2.24, 1 Ho 2.34, 1 Ag 2.41, 1 O 2.44
O: 0.8790 0.3945 0.0285  2 Pu 2.23-2.24, 1 Ho 2.34, 1 Ag 2.41, 1 O 2.44
O: 0.8790 0.8504 0.4844  2 Pu 2.23-2.24, 1 Ho 2.34, 1 Ag 2.41, 1 O 2.44

=====

No. 7
A plane-wave DFT calculation with GGA-PBE was carried out for RbHoAgO3 after structural relaxation.

Unit cell a=7.0949 b=3.5524 c=9.9775 alpha=90.00 beta=110.74 gamma=90.00
With the nearest neighbours (Å) after each atom.
Fractional coordinates of all 12 atoms:
Rb: 0.0024 0.2500 0.2478  5 O 2.97-2.98
Rb: 0.9976 0.7500 0.7522  5 O 2.97-2.98
Ho: 0.4675 0.2500 0.1351  6 O 2.19-2.42
Ho: 0.5325 0.7500 0.8649  6 O 2.19-2.42
Ag: 0.4348 0.2500 0.5762  2 O 2.08
Ag: 0.5652 0.7500 0.4238  2 O 2.08
O: 0.3077 0.7500 0.1987  2 Ho 2.31, 1 Ag 2.34
O: 0.3110 0.7500 0.6164  2 Ag 2.08
O: 0.3462 0.2500 0.9009  3 Ho 2.19-2.32
O: 0.6538 0.7500 0.0991  3 Ho 2.19-2.32
O: 0.6890 0.2500 0.3836  2 Ag 2.08
O: 0.6923 0.2500 0.8013  2 Ho 2.31, 1 Ag 2.34

=====

No. 8
A plane-wave DFT calculation with GGA-PBE was carried out for HoRe2AgO8 after structural relaxation.

Unit cell a=6.2442 b=6.2442 c=6.7141 alpha=90.00 beta=90.00 gamma=120.00
With the nearest neighbours (Å) after each atom.
Fractional coordinates of all 12 atoms:
Ho: 0.0000 0.0000 0.0000  6 O 2.25
Re: 0.3333 0.6667 0.2605  4 O 1.75-1.79
Re: 0.6667 0.3333 0.7395  4 O 1.75-1.79
Ag: 0.0000 0.0000 0.5000  6 O 2.86
O: 0.1751 0.3502 0.1815  1 Re 1.79
O: 0.1751 0.8249 0.1815  1 Re 1.79
O: 0.3333 0.6667 0.5207  1 Re 1.75
O: 0.3502 0.1751 0.8185  1 Re 1.79
O: 0.6498 0.8249 0.1815  1 Re 1.79
O: 0.6667 0.3333 0.4793  1 Re 1.75
O: 0.8249 0.1751 0.8185  1 Re 1.79
O: 0.8249 0.6498 0.8185  1 Re 1.79

=====

In order of appearance, raw total energy = -6.21, -6.33, -6.68, -7.25, -7.82, -8.59, -5.57, -7.70 eV/atom.
In order of appearance, theoretical density = 8.7, 8.4, 7.3, 7.9, 7.7, 9.8, 5.7, 5.7 g/cm3.